Entry from Alexandria via LeMat-Bulk: BeSiSe2 after structural relaxation (GGA-PBE).

POSCAR file:
```
BeSiSe2
1.0
3.5644 0.0000 0.0000
0.0000 5.1672 -0.2884
0.0000 2.9818 6.0807
Se Si Be
2 1 1
direct
0.5000 0.2245 0.3714
0.0000 0.9405 0.8799
0.0000 0.3943 0.5458
0.5000 0.9408 0.7028
```

## Properties
Space group: Pm (6)
Crystal system: monoclinic
VASP energy, eV per atom: -4.2238

Entry from Alexandria via LeMat-Bulk: BeSiSe2 after structural relaxation (GGA-PBE).

POSCAR file:
```
BeSiSe2
1.0
7.5776 0.4830 -0.0156
5.8223 4.8739 0.0156
-6.6773 -2.7352 2.3637
Se Si Be
2 1 1
direct
0.2352 0.7352 0.5000
0.9918 0.9918 0.0000
0.5654 0.5654 0.0000
0.7077 0.2077 0.5000
```

## Properties
Space group: Imm2 (44)
Crystal system: orthorhombic
VASP energy, eV per atom: -3.9164

Entry from Alexandria via LeMat-Bulk: Be2SiSe after structural relaxation (GGA-PBE).

POSCAR file:
```
Be2SiSe
1.0
3.0792 0.0000 0.0000
0.0000 3.0792 0.0000
0.0000 0.0000 6.9219
Be Se Si
2 1 1
direct
0.5000 0.5000 0.2204
0.0000 0.0000 0.0473
0.0000 0.0000 0.3641
0.5000 0.5000 0.8681
```

## Properties
Space group: P4mm (99)
Crystal system: tetragonal
VASP energy, eV per atom: -3.8385

Entry from Alexandria via LeMat-Bulk: BeSiSe2 after structural relaxation (GGA-PBE).

POSCAR file:
```
BeSiSe2
1.0
7.2436 0.1173 -0.0069
5.4068 4.8219 0.0069
-6.2385 -2.6918 2.5139
Si Se Be
1 2 1
direct
0.2500 0.7500 0.5000
0.8735 0.8735 0.0000
0.6265 0.6265 0.0000
0.7500 0.2500 0.5000
```

## Properties
Space group: Immm (71)
Crystal system: orthorhombic
VASP energy, eV per atom: -4.0371

no.,offset from the most stable computed form (eV per atom),total magnetic moment (μB per formula unit),raw formation energy (eV/atom)
1,0.213,0.00,-0.194
2,0.521,0.00,0.113
3,0.145,0.00,0.251
4,0.400,0.00,-0.008